Compound: BaP2Cl
Source: Alexandria via LeMat-Bulk
Functional: PBE
Structure: optimized geometry

Cell: 6.0687 6.0687 6.0687 Å, 46.21 46.21 46.21°
Closest atoms and distances in Å follow each position.
Element x y z (fractional)
P 0.0620 0.0620 0.0620  3 Cl 2.77, 3 P 2.84, 1 Ba 3.05
P 0.4380 0.4380 0.4380  3 Cl 2.77, 3 P 2.84, 1 Ba 3.05
Ba 0.2500 0.2500 0.2500  2 P 3.05
Cl 0.7500 0.7500 0.7500  6 P 2.77

Summary:
As for the density of states at the Fermi level: 0.46 states/eV/atom. As for the formation energy (no corrections): -225 meV per atom. Its space group is No. 166. The value obtained for the energy above the most stable polymorph in this dataset is 759.2 meV per atom. As for the total energy: -15.490 eV/cell.

---

Compound: Li2ZrAl2
Source: Alexandria via LeMat-Bulk
Functional: PBE
Structure: optimized geometry

Cell: 7.7949 7.7949 2.8272 Å, 90.00 90.00 90.00°
Closest atoms and distances in Å follow each position.
Element x y z (fractional)
Li 0.6662 0.8338 0.5000  6 Al 2.65-2.72, 2 Li 2.83
Li 0.8338 0.3338 0.5000  6 Al 2.65-2.72, 2 Li 2.83
Li 0.3338 0.1662 0.5000  6 Al 2.65-2.72, 2 Li 2.83
Li 0.1662 0.6662 0.5000  6 Al 2.65-2.72, 2 Li 2.83
Zr 0.5000 0.5000 0.0000  2 Zr 2.83, 4 Al 3.05
Zr 0.0000 0.0000 0.0000  2 Zr 2.83, 4 Al 3.05
Al 0.8695 0.6305 0.0000  6 Li 2.65-2.72, 3 Al 2.83-2.88
Al 0.1305 0.3695 0.0000  6 Li 2.65-2.72, 3 Al 2.83-2.88
Al 0.6305 0.1305 0.0000  6 Li 2.65-2.72, 3 Al 2.83-2.88
Al 0.3695 0.8695 0.0000  6 Li 2.65-2.72, 3 Al 2.83-2.88

Summary:
Its calculated formation energy is -48.0 meV/atom. As for the density of states at the Fermi level: 0.62 states/eV/atom. Its space group is No. 127. The value obtained for the energy above the most stable polymorph in this dataset is 136.1 meV per atom. As for the total energy: -40.201 eV/cell.

---

Compound: CrFePt2
Source: Alexandria via LeMat-Bulk
Functional: PBE
Structure: optimized geometry

Cell: 4.7507 4.7507 4.7515 Å, 132.73 132.72 69.07°
Closest atoms and distances in Å follow each position.
Element x y z (fractional)
Pt 0.0000 0.0000 0.0000  4 Cr 2.69, 4 Fe 2.73, 4 Pt 2.73
Pt 0.7500 0.2500 0.5000  4 Fe 2.69, 4 Cr 2.73, 4 Pt 2.73
Cr 0.5000 0.5000 0.0000  8 Pt 2.69-2.73, 4 Fe 2.73
Fe 0.2500 0.7500 0.5000  8 Pt 2.69-2.73, 4 Cr 2.73

Summary:
Its calculated formation energy is -248.0 meV/atom. As for the density of states at the Fermi level: 0.89 states/eV/atom. Its space group is No. 119. As for the total energy: -31.160 eV/cell.

---

Compound: K2AgSCl
Source: Alexandria via LeMat-Bulk
Functional: PBE
Structure: optimized geometry

Cell: 6.1027 6.1027 4.6545 Å, 90.00 90.00 90.00°
Closest atoms and distances in Å follow each position.
Element x y z (fractional)
K 0.0000 0.5000 0.0000  2 S 3.05
K 0.5000 0.0000 0.0000  2 S 3.05
S 0.0000 0.0000 0.0000  2 Ag 2.33
Cl 0.5000 0.5000 0.5000  8 K 3.84
Ag 0.0000 0.0000 0.5000  2 S 2.33

Summary:
As for the formation energy (no corrections): -1025 meV per atom. Its space group is No. 123. As for the total energy: -16.144 eV/cell.

---

Compound: YTeN3
Source: Alexandria via LeMat-Bulk
Functional: PBE
Structure: optimized geometry

Cell: 4.4331 4.4331 4.4331 Å, 90.00 90.00 90.00°
Closest atoms and distances in Å follow each position.
Element x y z (fractional)
N 0.0000 0.0000 0.5000  2 Y 2.22
N 0.5000 0.0000 0.0000  2 Y 2.22
N 0.0000 0.5000 0.0000  2 Y 2.22
Y 0.0000 0.0000 0.0000  6 N 2.22
Te 0.5000 0.5000 0.5000  12 N 3.13

Summary:
As for the density of states at the Fermi level: 0.77 states/eV/atom. As for the formation energy (no corrections): 1394 meV per atom. Its space group is No. 221. As for the total energy: -27.613 eV/cell.

---

Compound: NdLuCuAg
Source: Alexandria via LeMat-Bulk
Functional: PBE
Structure: optimized geometry

Cell: 5.0808 5.0808 5.0808 Å, 60.00 60.00 60.00°
Closest atoms and distances in Å follow each position.
Element x y z (fractional)
Cu 0.2500 0.2500 0.2500  4 Nd 3.11, 4 Lu 3.11
Nd 0.5000 0.5000 0.5000  4 Cu 3.11, 4 Ag 3.11
Lu 0.0000 0.0000 0.0000  4 Cu 3.11, 4 Ag 3.11
Ag 0.7500 0.7500 0.7500  4 Nd 3.11, 4 Lu 3.11

Summary:
Its calculated formation energy is -222.1 meV/atom. As for the density of states at the Fermi level: 0.95 states/eV/atom. Its space group is No. 216. As for the total energy: -17.125 eV/cell.

---

Compound: ReAg3I
Source: Alexandria via LeMat-Bulk
Functional: PBE
Structure: optimized geometry

Cell: 5.2532 5.2532 5.2532 Å, 90.00 90.00 90.00°
Closest atoms and distances in Å follow each position.
Element x y z (fractional)
Re 0.0000 0.0000 0.0000  6 Ag 2.63
I 0.5000 0.5000 0.5000  12 Ag 3.71
Ag 0.0000 0.0000 0.5000  2 Re 2.63
Ag 0.0000 0.5000 0.0000  2 Re 2.63
Ag 0.5000 0.0000 0.0000  2 Re 2.63

Summary:
As for the density of states at the Fermi level: 0.47 states/eV/atom. As for the formation energy (no corrections): 1469 meV per atom. Its space group is No. 221. The value obtained for the energy above the most stable polymorph in this dataset is 0.0 meV per atom. As for the total energy: -15.207 eV/cell.

---

Compound: CrTcBr
Source: Alexandria via LeMat-Bulk
Functional: PBE
Structure: optimized geometry

Cell: 5.8491 5.8491 5.8491 Å, 150.11 150.11 42.78°
Closest atoms and distances in Å follow each position.
Element x y z (fractional)
Br 0.9977 0.9977 0.0000  4 Cr 2.91, 4 Tc 2.96, 4 Br 3.02
Cr 0.3156 0.3156 0.0000  4 Tc 2.55
Tc 0.6867 0.6867 0.0000  4 Cr 2.55

Summary:
As for the density of states at the Fermi level: 0.82 states/eV/atom. As for the formation energy (no corrections): 575 meV per atom. Its space group is No. 107. The value obtained for the energy above the most stable polymorph in this dataset is 171.3 meV per atom. As for the total energy: -19.939 eV/cell.

---

Which value of total energy does entry 8 give? -19.939 eV/cell

---

Among the records above, which one has the lowest total energy? Li2ZrAl2

---

What is the formula in the first record? BaP2Cl

---

Which value of total energy does entry 2 give? -40.201 eV/cell